(1)
DFT (GGA-PBE) results for K6PdAu2O after structural relaxation.

* spin magnetization: 0.00 Bohr magnetons per cell
* total energy: -2.720 eV/atom
* density: 3.4 g cm⁻³
* formation energy from raw total energies: -3.9 eV/f.u.

extended XYZ file:
```
10
Lattice="7.861 0.000 0.000 3.648 6.973 0.000 3.650 2.210 6.614" Properties=species:S:1:pos:R:3 pbc="T T T"
K 3.308 2.682 2.046
K 5.505 3.224 5.655
K 7.655 6.239 5.209
K 7.504 2.944 1.405
K 9.654 5.959 0.960
K 11.851 6.501 4.569
Pd 5.755 1.105 3.307
Au 5.456 5.685 1.580
Au 9.703 3.498 5.034
O 1.824 3.486 0.000
```

---

(2)
DFT (GGA-PBE) results for KPmAuO3 after structural relaxation.

* spin magnetization: 1.21 Bohr magnetons per cell
* total energy: -5.627 eV/atom
* density: 5.6 g cm⁻³
* formation energy from raw total energies: -9.8 eV/f.u.

extended XYZ file:
```
12
Lattice="7.160 0.000 0.000 0.000 3.547 0.000 -2.181 0.000 10.106" Properties=species:S:1:pos:R:3 pbc="T T T"
K -0.171 0.887 3.284
K 5.150 2.661 6.822
Pm 1.593 2.661 6.401
Pm 3.386 0.887 3.706
Au 2.894 2.661 0.684
Au 2.086 0.887 9.422
O 0.123 0.887 6.459
O 2.193 0.887 1.528
O 1.825 2.661 4.091
O 3.154 0.887 6.015
O 2.786 2.661 8.578
O 4.856 2.661 3.647
```

---

(3)
DFT (GGA-PBE) results for K2Pm2AuO6 after structural relaxation.

* spin magnetization: 1.02 Bohr magnetons per cell
* total energy: -5.920 eV/atom
* density: 5.4 g cm⁻³
* formation energy from raw total energies: -20.4 eV/f.u.

extended XYZ file:
```
11
Lattice="3.012 -5.262 0.000 3.012 5.262 0.000 -1.695 0.000 6.401" Properties=species:S:1:pos:R:3 pbc="T T T"
K 3.012 3.619 0.000
K 3.012 -3.619 0.000
Pm 2.165 1.742 3.200
Pm 2.165 -1.742 3.200
Au -0.848 0.000 3.200
O 0.114 1.743 4.380
O 0.902 0.000 2.102
O 0.114 -1.743 4.380
O 4.216 1.743 2.021
O 3.427 0.000 4.299
O 4.216 -1.743 2.021
```

---

(4)
DFT (GGA-PBE) results for KPm2AuO5 after structural relaxation.

* spin magnetization: 0.00 Bohr magnetons per cell
* total energy: -6.507 eV/atom
* density: 7.3 g cm⁻³
* formation energy from raw total energies: -19.9 eV/f.u.

extended XYZ file:
```
18
Lattice="6.793 0.000 0.000 0.000 6.793 0.000 0.000 0.000 5.990" Properties=species:S:1:pos:R:3 pbc="T T T"
K 0.000 0.000 0.000
K 3.396 3.396 0.000
Pm 1.210 2.186 2.995
Pm 2.186 5.583 2.995
Pm 4.606 1.210 2.995
Pm 5.583 4.606 2.995
Au 0.000 3.396 0.000
Au 3.396 0.000 0.000
O 0.000 0.000 2.995
O 0.913 4.309 1.545
O 0.913 4.309 4.446
O 2.483 0.913 1.545
O 2.483 0.913 4.446
O 3.396 3.396 2.995
O 4.309 5.880 1.545
O 4.309 5.880 4.446
O 5.880 2.483 1.545
O 5.880 2.483 4.446
```

---

(5)
DFT (GGA-PBE) results for KPm4Au3O12 after structural relaxation.

* spin magnetization: 1.13 Bohr magnetons per cell
* total energy: -6.287 eV/atom
* density: 7.5 g cm⁻³
* formation energy from raw total energies: -36.3 eV/f.u.

extended XYZ file:
```
20
Lattice="-4.272 4.272 4.272 4.272 -4.272 4.272 4.272 4.272 -4.272" Properties=species:S:1:pos:R:3 pbc="T T T"
K 0.000 0.000 0.000
Pm 2.136 2.136 -2.136
Pm 2.136 -2.136 2.136
Pm -2.136 2.136 2.136
Pm 2.136 2.136 2.136
Au 4.272 0.000 0.000
Au 0.000 4.272 0.000
Au 0.000 0.000 4.272
O 2.781 1.361 0.000
O 5.762 1.361 0.000
O 4.272 -1.490 2.911
O 2.911 4.272 -1.490
O 1.361 0.000 2.781
O 0.000 2.781 1.361
O 4.272 1.490 2.911
O 2.911 4.272 1.490
O 1.361 0.000 5.762
O 0.000 5.762 1.361
O -1.490 2.911 4.272
O 1.490 2.911 4.272
```

---

(6)
DFT (GGA-PBE) results for KPm2AuO4 after structural relaxation.

* spin magnetization: 0.00 Bohr magnetons per cell
* total energy: -6.476 eV/atom
* density: 6.8 g cm⁻³
* formation energy from raw total energies: -18.1 eV/f.u.

extended XYZ file:
```
16
Lattice="1.862 -6.429 0.000 1.862 6.429 0.000 0.000 0.000 12.017" Properties=species:S:1:pos:R:3 pbc="T T T"
K 1.862 5.652 9.013
K 1.862 -5.652 3.004
Pm 1.862 1.640 6.815
Pm 1.862 1.640 11.211
Pm 1.862 -1.640 0.806
Pm 1.862 -1.640 5.203
Au 1.862 3.283 3.004
Au 1.862 -3.283 9.013
O 0.000 0.000 0.000
O 0.000 0.000 6.009
O 1.862 3.341 0.982
O 1.862 3.341 5.026
O 1.862 0.978 9.013
O 1.862 -0.978 3.004
O 1.862 -3.341 6.991
O 1.862 -3.341 11.035
```

---

(7)
DFT (GGA-PBE) results for K2PmAuO4 after structural relaxation.

* spin magnetization: 0.00 Bohr magnetons per cell
* total energy: -5.348 eV/atom
* density: 5.6 g cm⁻³
* formation energy from raw total energies: -12.7 eV/f.u.

extended XYZ file:
```
8
Lattice="-3.178 3.178 3.535 3.178 -3.178 3.535 3.178 3.178 -3.535" Properties=species:S:1:pos:R:3 pbc="T T T"
K 0.000 0.000 0.000
K 0.000 3.178 1.768
Pm 0.000 0.000 3.535
Au 3.178 0.000 1.768
O 1.422 -1.012 2.071
O 1.756 4.190 -1.464
O 2.166 1.756 1.464
O 1.012 1.422 4.999
```

---

(8)
DFT (GGA-PBE) results for KPr2AuO4 after structural relaxation.

* spin magnetization: 0.00 Bohr magnetons per cell
* total energy: -6.446 eV/atom
* density: 6.5 g cm⁻³
* formation energy from raw total energies: -17.8 eV/f.u.

extended XYZ file:
```
16
Lattice="1.891 -6.517 0.000 1.891 6.517 0.000 0.000 0.000 12.140" Properties=species:S:1:pos:R:3 pbc="T T T"
K 1.891 5.725 9.105
K 1.891 -5.725 3.035
Pr 1.891 1.656 6.886
Pr 1.891 1.656 11.323
Pr 1.891 -1.656 0.816
Pr 1.891 -1.656 5.254
Au 1.891 3.325 3.035
Au 1.891 -3.325 9.105
O 0.000 0.000 0.000
O 0.000 0.000 6.070
O 1.891 3.376 1.012
O 1.891 3.376 5.058
O 1.891 0.959 9.105
O 1.891 -0.959 3.035
O 1.891 -3.376 7.082
O 1.891 -3.376 11.128
```

---

(9)
DFT (GGA-PBE) results for KPr2Au2O6 after structural relaxation.

* spin magnetization: 0.94 Bohr magnetons per cell
* total energy: -5.869 eV/atom
* density: 6.1 g cm⁻³
* formation energy from raw total energies: -17.6 eV/f.u.

extended XYZ file:
```
11
Lattice="6.102 0.000 0.000 -1.867 6.126 0.000 -1.016 -3.637 5.917" Properties=species:S:1:pos:R:3 pbc="T T T"
K 0.000 0.000 0.000
Pr -1.208 -0.406 4.037
Pr 4.427 2.896 1.881
Au 1.857 -2.760 4.877
Au 1.362 5.249 1.040
O -1.195 1.969 4.021
O -0.011 3.909 0.475
O 0.810 -1.484 3.577
O 2.409 3.973 2.341
O 3.230 -1.420 5.442
O 4.415 0.521 1.896
```

---

(10)
DFT (GGA-PBE) results for KPtAuO4 after structural relaxation.

* spin magnetization: 1.48 Bohr magnetons per cell
* total energy: -4.903 eV/atom
* density: 7.4 g cm⁻³
* formation energy from raw total energies: -4.1 eV/f.u.

extended XYZ file:
```
14
Lattice="-3.175 3.253 5.354 3.175 -3.253 5.354 3.175 3.253 -5.354" Properties=species:S:1:pos:R:3 pbc="T T T"
K 0.000 1.626 1.077
K 3.175 1.626 4.278
Pt 1.588 1.626 -2.677
Pt 1.588 -1.626 2.677
Au 3.175 0.000 0.000
Au 0.000 0.000 5.354
O 3.175 2.871 -2.824
O 1.899 1.626 -0.654
O 4.451 1.626 -0.654
O 3.175 -0.382 2.824
O 0.000 3.635 2.530
O -1.276 1.626 6.008
O 1.276 1.626 6.008
O 0.000 0.382 8.178
```

---

(11)
DFT (GGA-PBE) results for K2Pu3AuO12 after structural relaxation.

* spin magnetization: 2.87 Bohr magnetons per cell
* total energy: -7.992 eV/atom
* density: 6.2 g cm⁻³
* formation energy from raw total energies: -35.9 eV/f.u.

extended XYZ file:
```
18
Lattice="3.988 2.302 5.835 -3.988 2.302 5.835 0.000 -4.604 5.835" Properties=species:S:1:pos:R:3 pbc="T T T"
K 0.000 0.000 2.253
K 0.000 0.000 15.252
Pu -1.994 -1.151 5.835
Pu -1.994 1.151 11.670
Pu 0.000 2.302 5.835
Au 0.000 0.000 8.753
O -1.835 -1.060 7.706
O 0.000 -1.768 5.655
O -1.531 0.884 5.655
O 0.000 -2.119 9.799
O -1.835 1.060 9.799
O -1.531 -0.884 11.850
O 1.531 0.884 5.655
O 1.835 -1.060 7.706
O 0.000 2.119 7.706
O 1.531 -0.884 11.850
O 0.000 1.768 11.850
O 1.835 1.060 9.799
```

---

(12)
DFT (GGA-PBE) results for KPuAu2O6 after structural relaxation.

* spin magnetization: 2.09 Bohr magnetons per cell
* total energy: -6.366 eV/atom
* density: 6.2 g cm⁻³
* formation energy from raw total energies: -11.9 eV/f.u.

extended XYZ file:
```
20
Lattice="6.107 -4.863 0.000 6.107 4.863 0.000 -1.985 0.000 7.006" Properties=species:S:1:pos:R:3 pbc="T T T"
K 4.618 3.536 5.254
K 5.610 -3.536 1.751
Pu 5.610 2.186 1.751
Pu 4.618 -2.186 5.254
Au 1.581 0.272 5.112
Au 2.573 -0.272 1.609
Au 7.655 0.272 5.397
Au 8.648 -0.272 1.894
O 4.191 3.694 2.374
O 5.016 2.269 0.036
O 7.029 3.694 1.129
O 4.183 0.685 2.034
O 6.205 2.269 3.467
O 3.191 -0.685 5.537
O 7.038 0.685 1.469
O 4.024 -2.269 3.539
O 6.046 -0.685 4.972
O 3.199 -3.694 5.876
O 5.213 -2.269 6.970
O 6.037 -3.694 4.632
```

---

> Look up the spin magnetization of the seventh one.

0.00 Bohr magnetons per cell

---

> Which formula does entry 1 have?

K6PdAu2O

---

> Which value of total energy does entry 5 give?

-6.287 eV/atom